(1)
First-principles (PBE) data for a relaxed structure of AgHg2Au2, as listed in Alexandria via LeMat-Bulk.

The polymorph energy (0 for the lowest one) is 0.00 kcal/mol of atoms.

The structure belongs to space group P4/mbm (No. 127); the cell edges are 7.3283, 7.3283 and 3.9354 Å and the angles 90.00°, 90.00° and 90.00°. The inequivalent atoms are Ag at (0.0000, 0.0000, 0.0000), Hg at (0.1674, 0.3326, 0.5000) and Au at (0.1370, 0.6370, 0.0000).

***

(2)
First-principles (PBE) data for a relaxed structure of Ag7HgAu4, as listed in Alexandria via LeMat-Bulk.

The structure belongs to space group C2/m (No. 12); the cell edges are 10.6162, 5.1743 and 10.2680 Å and the angles 90.00°, 121.09° and 90.00°. The inequivalent atoms are Ag at (0.0000, 0.0000, 0.0000), Ag at (0.0352, 0.5000, 0.3806), Ag at (0.1587, 0.0000, 0.5488), Ag at (0.2064, 0.5000, 0.9153), Hg at (0.0000, 0.5000, 0.0000), Au at (0.0772, 0.0000, 0.7698) and Au at (0.2263, 0.0000, 0.3156).

***

(3)
First-principles (PBE) data for a relaxed structure of Ag6HgAu3, as listed in Alexandria via LeMat-Bulk.

The polymorph energy (0 for the lowest one) is 1.31 kcal/mol of atoms.

The structure belongs to space group Cmc2_1 (No. 36); the cell edges are 8.0377, 17.9277 and 5.3319 Å and the angles 90.00°, 90.00° and 90.00°. The inequivalent atoms are Ag at (0.0000, 0.0104, 0.0000), Ag at (0.0000, 0.3241, 0.0618), Ag at (0.1835, 0.4651, 0.2097), Ag at (0.1897, 0.2669, 0.4896), Hg at (0.0000, 0.1604, 0.7980), Au at (0.0000, 0.3978, 0.5920) and Au at (0.1797, 0.1184, 0.3035).

***

(4)
First-principles (PBE) data for a relaxed structure of AgHg2Au2, as listed in Alexandria via LeMat-Bulk.

The polymorph energy (0 for the lowest one) is 0.87 kcal/mol of atoms.

The structure belongs to space group I4/mmm (No. 139); the cell edges are 3.8651, 3.8651 and 14.6931 Å and the angles 90.00°, 90.00° and 90.00°. The inequivalent atoms are Ag at (0.0000, 0.0000, 0.0000), Hg at (0.0000, 0.0000, 0.4029) and Au at (0.0000, 0.5000, 0.2500).

***

no.,V (Å³/cell),E_form (eV per atom)
1,211.3,0.089
2,483.0,0.130
3,768.3,0.049
4,219.5,0.127